*i*
BPdN2F | PBE | optimized geometry

Summary:
- D(E_F) (states/eV per atom) = 0.29
- crystal system = tetragonal

a b c (Å): 3.5203 3.5203 3.3467
angles (deg): 90.00 90.00 90.00
Closest atoms and distances in Å follow each position.
Sites, in units of the cell vectors:
N 0.5000 0.0000 0.0000  2 B 1.76
N 0.0000 0.5000 0.0000  2 B 1.76
F 0.0000 0.0000 0.5000  2 B 1.67
B 0.0000 0.0000 0.0000  2 F 1.67, 4 N 1.76
Pd 0.5000 0.5000 0.5000  8 N 2.43, 4 F 2.49

***

*ii*
BPdN2F | PBE | optimized geometry

Summary:
- D(E_F) (states/eV per atom) = 0.46
- crystal system = tetragonal

a b c (Å): 3.9699 3.9699 4.3373
angles (deg): 90.00 90.00 90.00
Closest atoms and distances in Å follow each position.
Sites, in units of the cell vectors:
F 0.0000 0.0000 0.5000  2 Pd 2.17
N 0.5000 0.0000 0.0000  2 Pd 1.98
N 0.0000 0.5000 0.0000  2 Pd 1.98
Pd 0.0000 0.0000 0.0000  4 N 1.98, 2 F 2.17
B 0.5000 0.5000 0.5000  4 F 2.81, 8 N 2.94

***

Stability ranking, top entry: *i*; the second entry is 1101 meV per atom less favorable.

***

*i*
BPtNF2 | PBE | optimized geometry

Summary:
- D(E_F) (states/eV per atom) = 0.33
- crystal system = tetragonal

a b c (Å): 4.5070 4.5070 3.6744
angles (deg): 90.00 90.00 90.00
Closest atoms and distances in Å follow each position.
Sites, in units of the cell vectors:
Pt 0.0000 0.0000 0.0000  2 N 1.84
F 0.5000 0.0000 0.0000  2 Pt 2.25
F 0.0000 0.5000 0.0000  2 Pt 2.25
B 0.5000 0.5000 0.5000  8 F 2.91, 4 N 3.19
N 0.0000 0.0000 0.5000  2 Pt 1.84

***

*ii*
BPtNF2 | PBE | optimized geometry

Summary:
- D(E_F) (states/eV per atom) = 0.78
- crystal system = tetragonal

a b c (Å): 4.5285 4.5285 2.6685
angles (deg): 90.00 90.00 90.00
Closest atoms and distances in Å follow each position.
Sites, in units of the cell vectors:
N 0.0000 0.0000 0.5000  2 B 1.33
F 0.5000 0.0000 0.0000  2 B 2.26
F 0.0000 0.5000 0.0000  2 B 2.26
Pt 0.5000 0.5000 0.5000  8 F 2.63, 2 Pt 2.67
B 0.0000 0.0000 0.0000  2 N 1.33

***

Stability ranking, top entry: *ii*; the second entry is 835 meV per atom less favorable.

***

*i*
BRhNF2 | PBE | optimized geometry

Summary:
- D(E_F) (states/eV per atom) = 0.57
- crystal system = tetragonal

a b c (Å): 4.2871 4.2871 3.6880
angles (deg): 90.00 90.00 90.00
Closest atoms and distances in Å follow each position.
Sites, in units of the cell vectors:
F 0.5000 0.0000 0.0000  2 Rh 2.14
F 0.0000 0.5000 0.0000  2 Rh 2.14
B 0.5000 0.5000 0.5000  8 F 2.83, 4 N 3.03
Rh 0.0000 0.0000 0.0000  2 N 1.84
N 0.0000 0.0000 0.5000  2 Rh 1.84

***

*ii*
BRhNF2 | PBE | optimized geometry

Summary:
- D(E_F) (states/eV per atom) = 0.54
- crystal system = tetragonal

a b c (Å): 4.4266 4.4266 2.6893
angles (deg): 90.00 90.00 90.00
Closest atoms and distances in Å follow each position.
Sites, in units of the cell vectors:
F 0.5000 0.0000 0.0000  2 B 2.21
F 0.0000 0.5000 0.0000  2 B 2.21
Rh 0.5000 0.5000 0.5000  8 F 2.59, 2 Rh 2.69
N 0.0000 0.0000 0.5000  2 B 1.34
B 0.0000 0.0000 0.0000  2 N 1.34

***

Stability ranking, top entry: *ii*; the second entry is 838 meV per atom less favorable.

***

*i*
BRuN2F | PBE | optimized geometry

Summary:
- D(E_F) (states/eV per atom) = 0.56
- crystal system = tetragonal

a b c (Å): 3.8028 3.8028 4.2262
angles (deg): 90.00 90.00 90.00
Closest atoms and distances in Å follow each position.
Sites, in units of the cell vectors:
N 0.0000 0.5000 0.0000  2 Ru 1.90
N 0.5000 0.0000 0.0000  2 Ru 1.90
F 0.0000 0.0000 0.5000  2 Ru 2.11
B 0.5000 0.5000 0.5000  4 F 2.69, 8 N 2.84
Ru 0.0000 0.0000 0.0000  4 N 1.90, 2 F 2.11

***

*ii*
BRuN2F | PBE | optimized geometry

Summary:
- D(E_F) (states/eV per atom) = 0.62
- crystal system = tetragonal

a b c (Å): 3.5954 3.5954 3.0852
angles (deg): 90.00 90.00 90.00
Closest atoms and distances in Å follow each position.
Sites, in units of the cell vectors:
Ru 0.5000 0.5000 0.5000  8 N 2.37, 4 F 2.54
N 0.0000 0.5000 0.0000  2 B 1.80
N 0.5000 0.0000 0.0000  2 B 1.80
B 0.0000 0.0000 0.0000  2 F 1.54
F 0.0000 0.0000 0.5000  2 B 1.54

***

Stability ranking, top entry: *ii*; the second entry is 418 meV per atom less favorable.

***

*i*
BRuNF2 | PBE | optimized geometry

Summary:
- D(E_F) (states/eV per atom) = 0.52
- crystal system = tetragonal

a b c (Å): 4.2031 4.2031 3.7188
angles (deg): 90.00 90.00 90.00
Closest atoms and distances in Å follow each position.
Sites, in units of the cell vectors:
F 0.5000 0.0000 0.0000  2 Ru 2.10
F 0.0000 0.5000 0.0000  2 Ru 2.10
Ru 0.0000 0.0000 0.0000  2 N 1.86
B 0.5000 0.5000 0.5000  8 F 2.81, 4 N 2.97
N 0.0000 0.0000 0.5000  2 Ru 1.86

***

*ii*
BRuNF2 | PBE | optimized geometry

Summary:
- D(E_F) (states/eV per atom) = 0.34
- crystal system = tetragonal

a b c (Å): 4.4010 4.4010 2.7098
angles (deg): 90.00 90.00 90.00
Closest atoms and distances in Å follow each position.
Sites, in units of the cell vectors:
F 0.5000 0.0000 0.0000  2 B 2.20
F 0.0000 0.5000 0.0000  2 B 2.20
N 0.0000 0.0000 0.5000  2 B 1.35
B 0.0000 0.0000 0.0000  2 N 1.35
Ru 0.5000 0.5000 0.5000  8 F 2.58, 2 Ru 2.71

***

Stability ranking, top entry: *ii*; the second entry is 697 meV per atom less favorable.

***

*i*
BS2NF | PBE | optimized geometry

Summary:
- D(E_F) (states/eV per atom) = 0.63
- crystal system = tetragonal

a b c (Å): 6.7414 6.7414 2.4678
angles (deg): 90.00 90.00 90.00
Closest atoms and distances in Å follow each position.
Sites, in units of the cell vectors:
N 0.0000 0.0000 0.5000  2 B 1.23
S 0.0000 0.5000 0.0000  2 S 2.47
S 0.5000 0.0000 0.0000  2 S 2.47
F 0.5000 0.5000 0.5000  2 F 2.47
B 0.0000 0.0000 0.0000  2 N 1.23

***

*ii*
BS2NF | PBE | optimized geometry

Summary:
- D(E_F) (states/eV per atom) = 0.78
- crystal system = tetragonal

a b c (Å): 4.3501 4.3501 3.7668
angles (deg): 90.00 90.00 90.00
Closest atoms and distances in Å follow each position.
Sites, in units of the cell vectors:
B 0.5000 0.5000 0.5000  8 S 2.88, 4 N 3.08
S 0.0000 0.5000 0.0000  2 F 2.18
S 0.5000 0.0000 0.0000  2 F 2.18
N 0.0000 0.0000 0.5000  2 F 1.88
F 0.0000 0.0000 0.0000  2 N 1.88

***

Stability ranking, top entry: *i*; the second entry is 1930 meV per atom less favorable.

***

*i*
BSbN2F | PBE | optimized geometry

Summary:
- D(E_F) (states/eV per atom) = 0.32
- crystal system = tetragonal

a b c (Å): 3.5912 3.5912 3.5461
angles (deg): 90.00 90.00 90.00
Closest atoms and distances in Å follow each position.
Sites, in units of the cell vectors:
Sb 0.5000 0.5000 0.5000  8 N 2.52, 4 F 2.54
N 0.5000 0.0000 0.0000  2 B 1.80
N 0.0000 0.5000 0.0000  2 B 1.80
B 0.0000 0.0000 0.0000  2 F 1.77, 4 N 1.80
F 0.0000 0.0000 0.5000  2 B 1.77

***

*ii*
BSbN2F | PBE | optimized geometry

Summary:
- D(E_F) (states/eV per atom) = 0.20
- crystal system = tetragonal

a b c (Å): 4.0136 4.0136 4.1679
angles (deg): 90.00 90.00 90.00
Closest atoms and distances in Å follow each position.
Sites, in units of the cell vectors:
N 0.5000 0.0000 0.0000  2 Sb 2.01
N 0.0000 0.5000 0.0000  2 Sb 2.01
F 0.0000 0.0000 0.5000  2 Sb 2.08
Sb 0.0000 0.0000 0.0000  4 N 2.01, 2 F 2.08
B 0.5000 0.5000 0.5000  4 F 2.84, 8 N 2.89

***

Stability ranking, top entry: *i*; the second entry is 902 meV per atom less favorable.

***

*i*
ScBNF2 | PBE | optimized geometry

Summary:
- D(E_F) (states/eV per atom) = 0.22
- crystal system = tetragonal

a b c (Å): 4.0022 4.0022 4.3983
angles (deg): 90.00 90.00 90.00
Closest atoms and distances in Å follow each position.
Sites, in units of the cell vectors:
Sc 0.0000 0.0000 0.0000  4 F 2.00, 2 N 2.20
F 0.5000 0.0000 0.0000  2 Sc 2.00
F 0.0000 0.5000 0.0000  2 Sc 2.00
N 0.0000 0.0000 0.5000  2 Sc 2.20
B 0.5000 0.5000 0.5000  4 N 2.83, 8 F 2.97

***

*ii*
ScBNF2 | PBE | optimized geometry

Summary:
- D(E_F) (states/eV per atom) = 0.20
- crystal system = tetragonal

a b c (Å): 4.2991 4.2991 2.7231
angles (deg): 90.00 90.00 90.00
Closest atoms and distances in Å follow each position.
Sites, in units of the cell vectors:
F 0.5000 0.0000 0.0000  2 B 2.15
F 0.0000 0.5000 0.0000  2 B 2.15
N 0.0000 0.0000 0.5000  2 B 1.36
B 0.0000 0.0000 0.0000  2 N 1.36
Sc 0.5000 0.5000 0.5000  8 F 2.54, 2 Sc 2.72

***

Stability ranking, top entry: *ii*; the second entry is 811 meV per atom less favorable.